# 1
The following is a DFT calculation (GGA-PBE) of a geometry-optimized Dy2PaCu structure.

Properties
Calculated total energy in eV per atom: -5.69
Polymorph energy (0 for the lowest one) in eV per formula unit: 0.00
Energy of formation in eV per atom: 0.01
Magnetic moment in μB/cell: 0.01

a = 3.418 Å, b = 3.418 Å, c = 8.269 Å
α = 90.00°, β = 90.00°, γ = 90.00°
Fractional positions:
Dy 0.000 0.000 0.213
Dy 0.000 0.000 0.787
Pa 0.500 0.500 0.500
Cu 0.500 0.500 0.000

=====

# 2
The following is a DFT calculation (GGA-PBE) of a geometry-optimized Li2ScSb structure.

Properties
Calculated total energy in eV per atom: -3.81
Magnetic moment in μB/cell: 0.00
Formation energy without anion corrections in eV/atom: -0.24

a = 4.744 Å, b = 4.744 Å, c = 6.133 Å
α = 97.14°, β = 97.14°, γ = 39.51°
Fractional positions:
Li 0.000 0.000 0.000
Li 0.249 0.249 0.806
Sc 0.760 0.760 0.315
Sb 0.507 0.507 0.577

=====

# 3
The following is a DFT calculation (GGA-PBE) of a geometry-optimized Fe2AgHg structure.

Properties
Calculated total energy in eV per atom: -4.55
Energy of formation in eV per atom: 0.47
Magnetic moment in μB/cell: 5.58

a = 4.960 Å, b = 4.960 Å, c = 4.851 Å
α = 100.87°, β = 100.87°, γ = 33.76°
Fractional positions:
Fe 0.250 0.250 0.214
Fe 0.750 0.750 0.786
Ag 0.500 0.500 0.000
Hg 0.000 0.000 0.500

=====

# 4
The following is a DFT calculation (GGA-PBE) of a geometry-optimized La3GaO structure.

Properties
Calculated total energy in eV per atom: -5.78
Magnetic moment in μB/cell: 0.00
Formation energy without anion corrections in eV/atom: -1.23

a = 9.074 Å, b = 6.823 Å, c = 9.902 Å
α = 90.00°, β = 122.57°, γ = 90.00°
Fractional positions:
La 0.017 0.009 0.259
La 0.017 0.491 0.759
La 0.277 0.248 0.637
La 0.277 0.252 0.137
La 0.420 0.727 0.457
La 0.420 0.773 0.957
La 0.580 0.227 0.043
La 0.580 0.273 0.543
La 0.723 0.748 0.863
La 0.723 0.752 0.363
La 0.983 0.509 0.241
La 0.983 0.991 0.741
Ga 0.161 0.749 0.579
Ga 0.161 0.751 0.079
Ga 0.839 0.249 0.921
Ga 0.839 0.251 0.421
O 0.260 0.170 0.878
O 0.260 0.330 0.378
O 0.740 0.670 0.622
O 0.740 0.830 0.122